! YBiNO2 | the Alexandria database | PBE-GGA | relaxed; values from VASP
! * total magnetization: 0.206 μB/atom
! * symmetry: P4/mmm, No. 123
! * E_form (uncorrected): -0.776 eV per atom
! * calculated total energy: -6.4934 eV per atom
&SYSTEM
  ibrav = 0, nat = 5, ntyp = 4
/
ATOMIC_SPECIES
Y 88.91 Y.upf
O 16.00 O.upf
N 14.01 N.upf
Bi 208.98 Bi.upf
ATOMIC_POSITIONS angstrom
Y 0.000 0.000 0.000
O -0.590 1.093 1.766
N 1.952 -0.515 0.972
O -0.880 -1.794 0.817
Bi 0.482 -1.216 3.554
CELL_PARAMETERS angstrom
-1.181 2.187 3.531
-1.760 -3.589 1.634
3.905 -1.030 1.943